Record 1
CrCdTc | PBE | relaxed

```
3
Lattice="-1.5154 1.5154 5.1409 1.5154 -1.5154 5.1409 1.5154 1.5154 -5.1409" Properties=species:S:1:pos:R:3 pbc="T T T"
Cr 0.0000 0.0000 0.0000
Cd 0.0000 0.0000 7.0676
Tc 0.0000 0.0000 3.9668
```

Output
The energy above the most stable polymorph in this dataset comes out at 0.000 eV per atom. As for the formation energy: 268 meV/atom.

---

Record 2
ZrPd2F8 | PBE | relaxed

```
11
Lattice="4.9743 -3.6800 0.0000 4.9743 3.6800 0.0000 -0.2363 0.0000 4.4915" Properties=species:S:1:pos:R:3 pbc="T T T"
Zr 0.0000 0.0000 0.0000
Pd 3.6107 0.0000 3.3466
Pd 6.1016 0.0000 1.1450
F 3.8244 2.1983 3.4143
F 1.4470 0.0000 3.3354
F 5.8879 2.1983 1.0772
F 3.9218 0.0000 1.1171
F 5.7905 0.0000 3.3744
F 3.8244 -2.1983 3.4143
F 8.2653 0.0000 1.1562
F 5.8879 -2.1983 1.0772
```

Output
The calculation puts the raw formation energy at -2196 meV/atom.

---

Record 3
BaSrSc2In | PBE | relaxed

```
5
Lattice="5.4715 0.0000 0.0000 0.0000 5.4715 0.0000 0.0000 0.0000 6.0222" Properties=species:S:1:pos:R:3 pbc="T T T"
Ba 0.0000 0.0000 0.0000
Sr 0.0000 0.0000 3.0111
Sc 0.0000 2.7357 0.0000
Sc 2.7357 0.0000 0.0000
In 2.7357 2.7357 3.0111
```

Output
As for the formation energy: 1025 meV/atom.

---

Record 4
LiCuGe | PBE | relaxed

```
12
Lattice="5.1114 0.0000 0.0000 -0.3443 5.8615 0.0000 -0.0062 -2.6965 6.4941" Properties=species:S:1:pos:R:3 pbc="T T T"
Li 0.5384 0.0935 2.5273
Li 1.6739 1.6968 5.6909
Li 3.0870 1.4681 0.8032
Li 4.2225 3.0714 3.9669
Cu 0.4209 3.0105 1.1521
Cu 2.2330 -1.3415 4.5357
Cu 2.5280 4.5065 1.9584
Cu 4.3401 0.1545 5.3420
Ge 0.5874 -1.6283 6.2295
Ge 1.6306 2.5703 3.1258
Ge 3.1303 0.5946 3.3684
Ge 4.1736 4.7932 0.2647
```

Output
As for the formation energy: -143 meV/atom.

---

Record 5
BaCa2Pd | PBE | relaxed

```
4
Lattice="2.1443 1.2380 9.9261 -2.1443 1.2380 9.9261 0.0000 -2.4760 9.9261" Properties=species:S:1:pos:R:3 pbc="T T T"
Ba 0.0000 0.0000 0.0000
Ca 0.0000 0.0000 16.3448
Ca 0.0000 0.0000 23.2588
Pd 0.0000 0.0000 4.9046
```

Output
The energy above the most stable polymorph in this dataset comes out at 0.078 eV per atom. As for the formation energy: -311 meV/atom.

---

Record 6
Al4Ag3 | PBE | relaxed

```
7
Lattice="5.4853 0.0000 0.0000 -2.7426 4.7504 0.0000 0.0000 0.0000 4.8356" Properties=species:S:1:pos:R:3 pbc="T T T"
Al 0.0000 0.0000 1.1985
Al 0.0000 0.0000 3.6371
Al 0.0000 3.1669 0.0000
Al 2.7426 1.5835 0.0000
Ag -1.3713 2.3752 2.4178
Ag 2.7426 0.0000 2.4178
Ag 1.3713 2.3752 2.4178
```

Output
The energy above the most stable polymorph in this dataset comes out at 0.131 eV per atom. As for the formation energy: 85 meV/atom.

---

Record 7
KHg3H2 | PBE | relaxed

```
12
Lattice="5.2446 -4.5279 0.0000 5.2446 4.5279 0.0000 0.0000 0.0000 5.3110" Properties=species:S:1:pos:R:3 pbc="T T T"
K 5.2446 3.0413 3.9832
K 5.2446 -3.0413 1.3277
Hg 2.1702 1.4354 3.9832
Hg 2.1702 -1.4354 1.3277
Hg 5.2446 0.6840 1.3277
Hg 5.2446 -0.6840 3.9832
Hg 8.3191 1.4354 3.9832
Hg 8.3191 -1.4354 1.3277
H 1.8560 0.0000 0.0000
H 1.8560 0.0000 2.6555
H 8.6332 0.0000 0.0000
H 8.6332 0.0000 2.6555
```

Output
The value obtained for the electronic total energy is -16.12 eV per cell.

---

Record 8
Zr2InNi2 | PBE | relaxed

```
20
Lattice="7.2187 0.0000 0.0000 0.0000 7.2187 0.0000 0.0000 0.0000 6.7116" Properties=species:S:1:pos:R:3 pbc="T T T"
Zr 1.1473 1.1473 0.0000
Zr 1.2880 1.2880 3.3558
Zr 2.3213 4.8974 0.0000
Zr 2.4621 4.7566 3.3558
Zr 4.7566 2.4621 3.3558
Zr 4.8974 2.3213 0.0000
Zr 5.9307 5.9307 3.3558
Zr 6.0715 6.0715 0.0000
In 0.0000 3.6094 1.6779
In 0.0000 3.6094 5.0337
In 3.6094 0.0000 1.6779
In 3.6094 0.0000 5.0337
Ni 0.9001 6.3187 1.8449
Ni 0.9001 6.3187 4.8667
Ni 2.7093 2.7093 1.5109
Ni 2.7093 2.7093 5.2007
Ni 4.5094 4.5094 1.5109
Ni 4.5094 4.5094 5.2007
Ni 6.3187 0.9001 1.8449
Ni 6.3187 0.9001 4.8667
```

Output
As for the formation energy: -501 meV/atom.